## PrErCuAu (PBE-GGA)

Data for PrErCuAu after structural relaxation.

The structure in POSCAR format:
```
PrErCuAu
1.0
0.000 3.610 3.610
3.610 0.000 3.610
3.610 3.610 0.000
Pr Er Cu Au
1 1 1 1
direct
0.000 0.000 0.000 Pr
0.500 0.500 0.500 Er
0.750 0.750 0.750 Cu
0.250 0.250 0.250 Au
```

Results
**Volume**: 94 Å³ per cell
**ΔE_f**: -0.475 eV per atom
**D(E_F)**: 4.0 states/eV/cell
**E_tot**: -4.654 eV per atom